# PBE TaTl2Os, optimized geometry
# space-group type = P4/mmm (123)
# energy relative to the elements = 1.070 eV/atom
# excess energy over the best structure of this formula in the dataset = 771 meV/atom
data_TaTl2Os
_space_group_name_H-M_alt 'P 1'
_space_group_IT_number 1
_cell_length_a 4.825
_cell_length_b 4.825
_cell_length_c 3.308
_cell_angle_alpha 90.00
_cell_angle_beta 90.00
_cell_angle_gamma 90.00
loop_
_space_group_symop_operation_xyz
'x,y,z'
loop_
_atom_site_label
_atom_site_fract_x
_atom_site_fract_y
_atom_site_fract_z
Ta1 0.000 0.000 0.000
Tl1 0.000 0.500 0.500
Tl2 0.500 0.000 0.500
Os1 0.500 0.500 0.000